(1)
CrReIr after structural relaxation. Source: the Alexandria database, functional PBE-GGA.

Cell and atoms, written as CIF:
```
data_CrReIr
_chemical_formula_sum 'Cr2 Re2 Ir2'
_symmetry_space_group_name_H-M 'I 4 m m'
_symmetry_Int_Tables_number 107
_symmetry_space_group_name_Hall 'I 4 -2'
_cell_length_a 2.701
_cell_length_b 2.701
_cell_length_c 11.383
_cell_angle_alpha 90.00
_cell_angle_beta 90.00
_cell_angle_gamma 90.00
loop_
_atom_site_label
_atom_site_type_symbol
_atom_site_fract_x
_atom_site_fract_y
_atom_site_fract_z
Cr1 Cr 0.000 0.000 0.000
Re1 Re 0.000 0.000 0.336
Ir1 Ir 0.000 0.000 0.661
```

Summary:
excess energy over the best structure of this formula in the dataset	10	meV per atom

(2)
Cr2ReIr2 after structural relaxation. Source: the Alexandria database, functional PBE-GGA.

Cell and atoms, written as CIF:
```
data_Cr2ReIr2
_chemical_formula_sum 'Cr4 Re2 Ir4'
_symmetry_space_group_name_H-M 'P 4/m b m'
_symmetry_Int_Tables_number 127
_symmetry_space_group_name_Hall '-P 4 2ab'
_cell_length_a 7.144
_cell_length_b 7.144
_cell_length_c 2.695
_cell_angle_alpha 90.00
_cell_angle_beta 90.00
_cell_angle_gamma 90.00
loop_
_atom_site_label
_atom_site_type_symbol
_atom_site_fract_x
_atom_site_fract_y
_atom_site_fract_z
Cr1 Cr 0.116 0.384 0.000
Re1 Re 0.000 0.000 0.000
Ir1 Ir 0.177 0.677 0.500
```

Summary:
excess energy over the best structure of this formula in the dataset	0	meV per atom

(3)
CrRe2Ir after structural relaxation. Source: the Alexandria database, functional PBE-GGA.

Cell and atoms, written as CIF:
```
data_CrRe2Ir
_chemical_formula_sum 'Cr4 Re8 Ir4'
_symmetry_space_group_name_H-M 'F -4 3 m'
_symmetry_Int_Tables_number 216
_symmetry_space_group_name_Hall 'F -4 2 3'
_cell_length_a 6.159
_cell_length_b 6.159
_cell_length_c 6.159
_cell_angle_alpha 90.00
_cell_angle_beta 90.00
_cell_angle_gamma 90.00
loop_
_atom_site_label
_atom_site_type_symbol
_atom_site_fract_x
_atom_site_fract_y
_atom_site_fract_z
Cr1 Cr 0.000 0.000 0.000
Re1 Re 0.000 0.000 0.500
Re2 Re 0.250 0.250 0.750
Ir1 Ir 0.250 0.250 0.250
```

Summary:
excess energy over the best structure of this formula in the dataset	278	meV per atom

(4)
CrRe2Ir after structural relaxation. Source: the Alexandria database, functional PBE-GGA.

Cell and atoms, written as CIF:
```
data_CrRe2Ir
_chemical_formula_sum 'Cr4 Re8 Ir4'
_symmetry_space_group_name_H-M 'F 2 2 2'
_symmetry_Int_Tables_number 22
_symmetry_space_group_name_Hall 'F 2 2'
_cell_length_a 5.417
_cell_length_b 5.433
_cell_length_c 7.689
_cell_angle_alpha 90.00
_cell_angle_beta 90.00
_cell_angle_gamma 90.00
loop_
_atom_site_label
_atom_site_type_symbol
_atom_site_fract_x
_atom_site_fract_y
_atom_site_fract_z
Cr1 Cr 0.000 0.000 0.000
Re1 Re 0.000 0.000 0.500
Re2 Re 0.250 0.250 0.750
Ir1 Ir 0.250 0.250 0.250
```

Summary:
excess energy over the best structure of this formula in the dataset	3	meV per atom

(5)
Cr2ReIr after structural relaxation. Source: the Alexandria database, functional PBE-GGA.

Cell and atoms, written as CIF:
```
data_Cr2ReIr
_chemical_formula_sum 'Cr2 Re1 Ir1'
_symmetry_space_group_name_H-M 'P m m m'
_symmetry_Int_Tables_number 47
_cell_length_a 2.684
_cell_length_b 3.670
_cell_length_c 5.427
_cell_angle_alpha 90.00
_cell_angle_beta 90.00
_cell_angle_gamma 90.00
loop_
_symmetry_equiv_pos_as_xyz
'x,y,z'
'-x,-y,-z'
'-x,-y,z'
'x,y,-z'
'x,-y,-z'
'-x,y,z'
'-x,y,-z'
'x,-y,z'
loop_
_atom_site_label
_atom_site_type_symbol
_atom_site_fract_x
_atom_site_fract_y
_atom_site_fract_z
Cr1 Cr 0.000 0.000 0.247
Re1 Re 0.500 0.500 0.500
Ir1 Ir 0.500 0.500 0.000
```

(6)
Cr4ReIr after structural relaxation. Source: the Alexandria database, functional PBE-GGA.

Cell and atoms, written as CIF:
```
data_Cr4ReIr
_chemical_formula_sum 'Cr16 Re4 Ir4'
_symmetry_space_group_name_H-M 'F -4 3 m'
_symmetry_Int_Tables_number 216
_symmetry_space_group_name_Hall 'F -4 2 3'
_cell_length_a 6.698
_cell_length_b 6.698
_cell_length_c 6.698
_cell_angle_alpha 90.00
_cell_angle_beta 90.00
_cell_angle_gamma 90.00
loop_
_atom_site_label
_atom_site_type_symbol
_atom_site_fract_x
_atom_site_fract_y
_atom_site_fract_z
Cr1 Cr 0.124 0.124 0.376
Re1 Re 0.250 0.250 0.750
Ir1 Ir 0.000 0.000 0.000
```

(7)
CrRe2Ir after structural relaxation. Source: the Alexandria database, functional PBE-GGA.

Cell and atoms, written as CIF:
```
data_CrRe2Ir
_chemical_formula_sum 'Cr3 Re6 Ir3'
_symmetry_space_group_name_H-M 'R 3 m'
_symmetry_Int_Tables_number 160
_symmetry_space_group_name_Hall 'R 3 -2"'
_cell_length_a 2.7346
_cell_length_b 2.7346
_cell_length_c 26.4012
_cell_angle_alpha 90.00
_cell_angle_beta 90.00
_cell_angle_gamma 120.00
loop_
_atom_site_label
_atom_site_type_symbol
_atom_site_fract_x
_atom_site_fract_y
_atom_site_fract_z
Cr1 Cr 0.0000 0.0000 0.0000
Re1 Re 0.0000 0.0000 0.2506
Re2 Re 0.0000 0.0000 0.4993
Ir1 Ir 0.0000 0.0000 0.7442
```

Summary:
excess energy over the best structure of this formula in the dataset	88	meV per atom

(8)
CrRe4Ir after structural relaxation. Source: the Alexandria database, functional PBE-GGA.

Cell and atoms, written as CIF:
```
data_CrRe4Ir
_chemical_formula_sum 'Cr4 Re16 Ir4'
_symmetry_space_group_name_H-M 'F -4 3 m'
_symmetry_Int_Tables_number 216
_symmetry_space_group_name_Hall 'F -4 2 3'
_cell_length_a 7.214
_cell_length_b 7.214
_cell_length_c 7.214
_cell_angle_alpha 90.00
_cell_angle_beta 90.00
_cell_angle_gamma 90.00
loop_
_atom_site_label
_atom_site_type_symbol
_atom_site_fract_x
_atom_site_fract_y
_atom_site_fract_z
Cr1 Cr 0.000 0.000 0.000
Re1 Re 0.125 0.125 0.375
Ir1 Ir 0.250 0.250 0.750
```

Calculated E_form (eV/atom), listed in the same order as above: -0.023; 0.040; 0.231; -0.044; 0.011; -0.072; 0.041; 0.449
Calculated raw total energy (eV/atom), listed in the same order as above: -10.334; -9.843; -10.614; -10.889; -10.128; -10.039; -10.804; -10.930